(1)
The following is a PBE-GGA calculation of Np2SbN after structural relaxation, from Alexandria via LeMat-Bulk.

Cell lengths 3.4586, 3.4586, 8.1105 Å; angles 77.69, 77.69, 60.00 degrees
With the nearest neighbours (Å) after each atom.
Fractional positions:
Np: 0.7749 0.7749 0.6754  3 N 2.43
Np: 0.2251 0.2251 0.3246  3 N 2.43
Sb: 0.0000 0.0000 0.0000  6 Np 3.24, 6 Sb 3.46
N: 0.5000 0.5000 0.5000  6 Np 2.43

Crystal system: trigonal
Total magnetization: 7.9 μB per cell
E above lowest polymorph: 149 meV per atom
D(E_F): 2.7570 states/eV per atom
E_form (uncorrected): -50.9 kJ/mol of atoms
Total DFT energy (no corrections): -10.109 eV/atom

(2)
The following is a PBE-GGA calculation of Np3SbN4 after structural relaxation, from Alexandria via LeMat-Bulk.

Cell lengths 3.7963, 3.7963, 8.9118 Å; angles 90.00, 90.00, 90.00 degrees
With the nearest neighbours (Å) after each atom.
Fractional positions:
N: 0.0000 0.5000 0.8467  4 Np 2.17-2.34
N: 0.0000 0.5000 0.1533  4 Np 2.17-2.34
N: 0.5000 0.0000 0.8467  4 Np 2.17-2.34
N: 0.5000 0.0000 0.1533  4 Np 2.17-2.34
Np: 0.5000 0.5000 0.2708  4 N 2.17
Np: 0.5000 0.5000 0.7292  4 N 2.17
Np: 0.0000 0.0000 0.0000  8 N 2.34
Sb: 0.0000 0.0000 0.5000  8 Np 3.37, 8 N 3.63

Crystal system: tetragonal
Total magnetization: 6.6 μB per cell
D(E_F): 1.8836 states/eV per atom
E_form (uncorrected): -99.4 kJ/mol of atoms
Total DFT energy (no corrections): -10.561 eV/atom

(3)
The following is a PBE-GGA calculation of Np3Sb2N2 after structural relaxation, from Alexandria via LeMat-Bulk.

Cell lengths 3.9571, 8.4275, 9.5474 Å; angles 77.00, 78.04, 76.42 degrees
With the nearest neighbours (Å) after each atom.
Fractional positions:
Np: 0.0525 0.0398 0.8552  1 N 2.16
Np: 0.1290 0.5120 0.2300  3 N 2.24-2.27
Np: 0.4140 0.7194 0.4526  4 N 2.25-2.32
Np: 0.9475 0.9602 0.1448  1 N 2.16
Np: 0.5860 0.2806 0.5474  4 N 2.25-2.32
Np: 0.8710 0.4880 0.7700  3 N 2.24-2.27
N: 0.0339 0.2522 0.6801  4 Np 2.16-2.32
N: 0.5798 0.4884 0.3519  4 Np 2.25-2.27
N: 0.4202 0.5116 0.6481  4 Np 2.25-2.27
N: 0.9661 0.7478 0.3199  4 Np 2.16-2.32
Sb: 0.6317 0.7366 0.0000  7 Np 3.16-3.27, 1 Sb 3.22, 1 N 3.53
Sb: 0.2710 0.1143 0.3437  6 Np 3.14-3.23, 1 Sb 3.22
Sb: 0.3683 0.2634 0.0000  7 Np 3.16-3.27, 1 Sb 3.22, 1 N 3.53
Sb: 0.7290 0.8857 0.6563  6 Np 3.14-3.23, 1 Sb 3.22

Crystal system: monoclinic
Total magnetization: 19.7 μB per cell
D(E_F): 2.7453 states/eV per atom
E_form (uncorrected): -74.1 kJ/mol of atoms
Total DFT energy (no corrections): -9.871 eV/atom

(4)
The following is a PBE-GGA calculation of NpSbN after structural relaxation, from Alexandria via LeMat-Bulk.

Cell lengths 3.8681, 3.8681, 8.1516 Å; angles 105.13, 105.13, 89.80 degrees
With the nearest neighbours (Å) after each atom.
Fractional positions:
N: 0.0000 0.5000 0.0000  4 Np 2.16-2.36
N: 0.5000 0.0000 0.0000  4 Np 2.16-2.36
Np: 0.9460 0.9460 0.8460  4 N 2.16-2.36, 1 Np 2.36
Np: 0.0540 0.0540 0.1540  4 N 2.16-2.36, 1 Np 2.36
Sb: 0.6964 0.6964 0.3943  4 Sb 3.13-3.22, 5 Np 3.24-3.42
Sb: 0.3036 0.3036 0.6057  4 Sb 3.13-3.22, 5 Np 3.24-3.42

Crystal system: monoclinic
Total magnetization: 0.0 μB per cell
E above lowest polymorph: 554 meV per atom
D(E_F): 1.5567 states/eV per atom
E_form (uncorrected): -27.0 kJ/mol of atoms
Total DFT energy (no corrections): -8.743 eV/atom

(5)
The following is a PBE-GGA calculation of Np2SbN after structural relaxation, from Alexandria via LeMat-Bulk.

Cell lengths 4.4961, 4.4961, 8.7939 Å; angles 90.09, 90.09, 90.00 degrees
With the nearest neighbours (Å) after each atom.
Fractional positions:
N: 0.7498 0.7498 0.5954  5 Np 2.15-2.40
N: 0.2502 0.2502 0.4046  5 Np 2.15-2.40
Np: 0.7503 0.2497 0.5000  4 N 2.40
Np: 0.2493 0.2493 0.1606  1 N 2.15
Np: 0.7507 0.7507 0.8394  1 N 2.15
Np: 0.2497 0.7503 0.5000  4 N 2.40
Sb: 0.7494 0.7494 0.2058  9 Np 3.20-3.43, 1 N 3.43
Sb: 0.2506 0.2506 0.7942  9 Np 3.20-3.43, 1 N 3.43

Crystal system: monoclinic
Total magnetization: 15.9 μB per cell
E above lowest polymorph: 0 meV per atom
D(E_F): 3.3536 states/eV per atom
E_form (uncorrected): -65.2 kJ/mol of atoms
Total DFT energy (no corrections): -10.258 eV/atom

(6)
The following is a PBE-GGA calculation of Np3SbN3 after structural relaxation, from Alexandria via LeMat-Bulk.

Cell lengths 4.2621, 8.4641, 8.4641 Å; angles 120.00, 90.00, 90.00 degrees
With the nearest neighbours (Å) after each atom.
Fractional positions:
N: 0.2500 0.0272 0.2440  4 Np 2.22-2.44
N: 0.7500 0.7832 0.0272  4 Np 2.22-2.44
N: 0.7500 0.9728 0.7560  4 Np 2.22-2.44
N: 0.7500 0.2440 0.2168  4 Np 2.22-2.44
N: 0.2500 0.2168 0.9728  4 Np 2.22-2.44
N: 0.2500 0.7560 0.7832  4 Np 2.22-2.44
Np: 0.7500 0.0563 0.3285  4 N 2.22-2.44
Np: 0.2500 0.9437 0.6715  4 N 2.22-2.44
Np: 0.2500 0.3285 0.2722  4 N 2.22-2.44
Np: 0.2500 0.7278 0.0563  4 N 2.22-2.44
Np: 0.7500 0.6715 0.7278  4 N 2.22-2.44
Np: 0.7500 0.2722 0.9437  4 N 2.22-2.44
Sb: 0.7500 0.6667 0.3333  3 N 3.20, 9 Np 3.32-3.39
Sb: 0.2500 0.3333 0.6667  3 N 3.20, 9 Np 3.32-3.39

Crystal system: hexagonal
Total magnetization: 18.0 μB per cell
D(E_F): 2.1619 states/eV per atom
E_form (uncorrected): -76.5 kJ/mol of atoms
Total DFT energy (no corrections): -10.496 eV/atom

(7)
The following is a PBE-GGA calculation of Np2SbN after structural relaxation, from Alexandria via LeMat-Bulk.

Cell lengths 3.4345, 3.4345, 8.1913 Å; angles 77.91, 77.91, 59.96 degrees
With the nearest neighbours (Å) after each atom.
Fractional positions:
Np: 0.0592 0.0592 0.8223  3 N 2.44-2.45
Np: 0.2751 0.2751 0.1751  3 N 2.41
N: 0.6659 0.6659 0.0023  6 Np 2.41-2.45
Sb: 0.4998 0.4998 0.5003  6 Np 3.24-3.26, 6 Sb 3.43

Crystal system: trigonal
Total magnetization: 8.0 μB per cell
E above lowest polymorph: 140 meV per atom
D(E_F): 2.5802 states/eV per atom
E_form (uncorrected): -51.7 kJ/mol of atoms
Total DFT energy (no corrections): -10.119 eV/atom

(8)
The following is a PBE-GGA calculation of NpSbN after structural relaxation, from Alexandria via LeMat-Bulk.

Cell lengths 3.1556, 3.1556, 6.5210 Å; angles 104.00, 104.00, 90.00 degrees
With the nearest neighbours (Å) after each atom.
Fractional positions:
Sb: 0.0022 0.0022 0.0045  4 Sb 3.16, 1 N 3.28, 1 Np 3.36
Np: 0.7281 0.7281 0.4561  4 N 2.29
N: 0.2697 0.2697 0.5394  4 Np 2.29

Crystal system: tetragonal
Total magnetization: 3.0 μB per cell
E above lowest polymorph: 381 meV per atom
D(E_F): 1.5223 states/eV per atom
E_form (uncorrected): -43.7 kJ/mol of atoms
Total DFT energy (no corrections): -8.916 eV/atom

> Which formula does entry 1 have?

Np2SbN

> Look up the E_form (uncorrected) of the second one.

-99.4 kJ/mol of atoms

> Which value of total DFT energy (no corrections) does entry 4 give?

-8.743 eV/atom